Below is an optimized crystal structure of Ti2CdBr2, with properties calculated at the PBE-GGA level.

a = 7.8107 Å, b = 7.8107 Å, c = 3.2251 Å
α = 90.00°, β = 90.00°, γ = 90.00°
Fractional positions:
Ti: 0.1479 0.3521 0.0000
Ti: 0.3521 0.8521 0.0000
Ti: 0.6479 0.1479 0.0000
Ti: 0.8521 0.6479 0.0000
Cd: 0.0000 0.0000 0.0000
Cd: 0.5000 0.5000 0.0000
Br: 0.1401 0.6401 0.5000
Br: 0.3599 0.1401 0.5000
Br: 0.6401 0.8599 0.5000
Br: 0.8599 0.3599 0.5000

Results
formation energy without anion corrections: 0.05 eV per atom
uncorrected energy: -3.960 eV/atom
space group: No. 127
polymorph energy (0 for the lowest one): 92 meV/atom
total moment: 0.00 μB per cell
crystal system: tetragonal